The following is a GGA-PBE calculation of InCoAgSb2 after structural relaxation, from Alexandria via LeMat-Bulk.

Properties
The calculation puts the total energy at -19.47 eV for the cell shown. The calculation puts the mass density at 7.23 g/cm3.

```
InCoAgSb2
1.0
-4.6552 -0.1454 1.6752
1.2842 -3.4514 3.2691
1.0777 3.5273 3.3007
Sb Co Ag In
2 1 1 1
Direct
0.0000 0.0000 0.5000
0.5000 0.0000 0.0000
0.0000 0.0000 0.0000
0.5000 0.5000 0.5000
0.0000 0.5000 0.0000
```